No. 1
Here is a geometry-optimized KRuPb2 structure from Alexandria via LeMat-Bulk. Energies are from PBE-GGA.

Lattice parameters (Å, degrees): 4.560 4.560 7.315 71.79 71.79 59.93
Element x y z (fractional)
Pb: 0.799 0.799 0.604
Pb: 0.036 0.036 0.892
Ru: 0.420 0.420 0.741
K: 0.245 0.245 0.264

- Uncorrected energy: -16.8 eV per cell
- Symmetry: No. 8
- V: 30.69 Å³/atom
- Energy relative to the elements: 246 meV per atom

No. 2
Here is a geometry-optimized CaTe2Ir structure from Alexandria via LeMat-Bulk. Energies are from PBE-GGA.

Lattice parameters (Å, degrees): 3.981 3.983 6.229 90.00 90.00 90.00
Element x y z (fractional)
Ca: 0.000 0.000 0.449
Te: 0.500 0.500 0.284
Te: 0.000 0.000 0.925
Ir: 0.500 0.500 0.841

- Uncorrected energy: -18.6 eV per cell
- Symmetry: No. 99
- V: 24.70 Å³/atom
- Raw formation energy: -0.36 eV per atom

No. 3
Here is a geometry-optimized LiRhI2O structure from Alexandria via LeMat-Bulk. Energies are from PBE-GGA.

Lattice parameters (Å, degrees): 5.689 5.689 3.776 90.00 90.00 90.00
Element x y z (fractional)
I: 0.000 0.500 0.000
I: 0.500 0.000 0.000
Li: 0.500 0.500 0.500
O: 0.000 0.000 0.500
Rh: 0.000 0.000 0.000

- Uncorrected energy: -19.7 eV per cell
- Symmetry: No. 123
- V: 24.44 Å³/atom
- Raw formation energy: -0.48 eV per atom

No. 4
Here is a geometry-optimized Mg2Cr2Re structure from Alexandria via LeMat-Bulk. Energies are from PBE-GGA.

Lattice parameters (Å, degrees): 7.400 7.400 2.906 90.00 90.00 90.00
Element x y z (fractional)
Cr: 0.322 0.178 0.500
Cr: 0.178 0.678 0.500
Cr: 0.678 0.822 0.500
Cr: 0.822 0.322 0.500
Mg: 0.374 0.874 0.000
Mg: 0.126 0.374 0.000
Mg: 0.626 0.126 0.000
Mg: 0.874 0.626 0.000
Re: 0.000 0.000 0.000
Re: 0.500 0.500 0.000

- Uncorrected energy: -60.7 eV per cell
- Symmetry: No. 127
- V: 15.91 Å³/atom
- Energy relative to the elements: 910 meV per atom

No. 5
Here is a geometry-optimized LiZn2SbSe4 structure from Alexandria via LeMat-Bulk. Energies are from PBE-GGA.

Lattice parameters (Å, degrees): 5.877 5.877 7.416 113.33 113.33 90.00
Element x y z (fractional)
Se: 0.133 0.133 0.727
Se: 0.594 0.594 0.727
Se: 0.406 0.867 0.273
Se: 0.867 0.406 0.273
Li: 0.500 0.500 0.000
Zn: 0.250 0.750 0.500
Zn: 0.750 0.250 0.500
Sb: 0.000 0.000 0.000

- Uncorrected energy: -27.2 eV per cell
- Symmetry: No. 121
- V: 26.52 Å³/atom
- Raw formation energy: -0.58 eV per atom

No. 6
Here is a geometry-optimized YTh3As4 structure from Alexandria via LeMat-Bulk. Energies are from PBE-GGA.

Lattice parameters (Å, degrees): 5.979 5.979 5.979 90.00 90.00 90.00
Element x y z (fractional)
As: 0.500 0.000 0.000
As: 0.000 0.500 0.000
As: 0.500 0.500 0.500
As: 0.000 0.000 0.500
Th: 0.500 0.500 0.000
Th: 0.500 0.000 0.500
Th: 0.000 0.500 0.500
Y: 0.000 0.000 0.000

- Uncorrected energy: -58.8 eV per cell
- Symmetry: No. 221
- V: 26.71 Å³/atom
- Energy relative to the elements: -1436 meV per atom

No. 7
Here is a geometry-optimized HoHfTc4 structure from Alexandria via LeMat-Bulk. Energies are from PBE-GGA.

Lattice parameters (Å, degrees): 5.319 5.319 5.319 60.00 60.00 60.00
Element x y z (fractional)
Tc: 0.625 0.625 0.124
Tc: 0.625 0.124 0.625
Tc: 0.124 0.625 0.625
Tc: 0.625 0.625 0.625
Ho: 0.250 0.250 0.250
Hf: 0.000 0.000 0.000

- Uncorrected energy: -57.3 eV per cell
- Symmetry: No. 216
- V: 17.73 Å³/atom
- Energy relative to the elements: -218 meV per atom

No. 8
Here is a geometry-optimized Cd2In2Ag5 structure from Alexandria via LeMat-Bulk. Energies are from PBE-GGA.

Lattice parameters (Å, degrees): 3.268 9.781 6.314 71.91 75.43 99.68
Element x y z (fractional)
Ag: 0.880 0.544 0.786
Ag: 0.767 0.103 0.570
Ag: 0.000 0.000 0.000
Ag: 0.120 0.456 0.214
Ag: 0.233 0.897 0.430
In: 0.457 0.780 0.869
In: 0.543 0.220 0.131
Cd: 0.659 0.670 0.350
Cd: 0.341 0.330 0.650

- Uncorrected energy: -21.8 eV per cell
- Symmetry: No. 2
- V: 19.88 Å³/atom
- Energy relative to the elements: -21 meV per atom

No. 9
Here is a geometry-optimized Ho2ErZn6 structure from Alexandria via LeMat-Bulk. Energies are from PBE-GGA.

Lattice parameters (Å, degrees): 3.473 7.722 7.722 120.00 90.00 90.00
Element x y z (fractional)
Er: 0.000 0.000 0.000
Zn: 0.500 0.000 0.667
Zn: 0.500 0.333 0.000
Zn: 0.500 0.333 0.333
Zn: 0.500 0.667 0.000
Zn: 0.500 0.000 0.333
Zn: 0.500 0.667 0.667
Ho: 0.000 0.667 0.333
Ho: 0.000 0.333 0.667

- Uncorrected energy: -24.8 eV per cell
- Symmetry: No. 191
- V: 19.92 Å³/atom
- Energy relative to the elements: -383 meV per atom

No. 10
Here is a geometry-optimized LiTm structure from Alexandria via LeMat-Bulk. Energies are from PBE-GGA.

Lattice parameters (Å, degrees): 3.407 3.407 10.541 90.00 90.00 120.00
Element x y z (fractional)
Tm: 0.667 0.333 0.370
Tm: 0.333 0.667 0.630
Li: 0.667 0.333 0.887
Li: 0.333 0.667 0.113

- Uncorrected energy: -12.4 eV per cell
- Symmetry: No. 164
- V: 26.50 Å³/atom
- Energy relative to the elements: 94 meV per atom

No. 11
Here is a geometry-optimized La2Al3AgPt12 structure from Alexandria via LeMat-Bulk. Energies are from PBE-GGA.

Lattice parameters (Å, degrees): 7.819 7.819 7.819 64.00 64.00 64.00
Element x y z (fractional)
Pt: 0.860 0.389 0.860
Pt: 0.110 0.633 0.633
Pt: 0.389 0.860 0.860
Pt: 0.890 0.367 0.367
Pt: 0.367 0.890 0.367
Pt: 0.633 0.110 0.633
Pt: 0.633 0.633 0.110
Pt: 0.367 0.367 0.890
Pt: 0.860 0.860 0.389
Pt: 0.140 0.140 0.611
Pt: 0.611 0.140 0.140
Pt: 0.140 0.611 0.140
Al: 0.000 0.500 0.000
Al: 0.500 0.000 0.000
Al: 0.000 0.000 0.500
La: 0.614 0.614 0.614
La: 0.386 0.386 0.386
Ag: 0.000 0.000 0.000

- Uncorrected energy: -104.3 eV per cell
- Symmetry: No. 166
- V: 20.44 Å³/atom
- Energy relative to the elements: -437 meV per atom

No. 12
Here is a geometry-optimized CaZr2Be structure from Alexandria via LeMat-Bulk. Energies are from PBE-GGA.

Lattice parameters (Å, degrees): 6.120 6.120 5.020 65.80 65.80 31.16
Element x y z (fractional)
Be: 0.750 0.750 0.750
Zr: 0.456 0.456 0.544
Zr: 0.044 0.044 0.956
Ca: 0.250 0.250 0.250

- Uncorrected energy: -22.1 eV per cell
- Symmetry: No. 71
- V: 22.01 Å³/atom
- Energy relative to the elements: 172 meV per atom

No. 13
Here is a geometry-optimized Y2AsPb structure from Alexandria via LeMat-Bulk. Energies are from PBE-GGA.

Lattice parameters (Å, degrees): 5.315 5.315 5.315 60.00 60.00 60.00
Element x y z (fractional)
Y: 0.000 0.000 0.000
Y: 0.250 0.250 0.250
As: 0.500 0.500 0.500
Pb: 0.750 0.750 0.750

- Uncorrected energy: -21.6 eV per cell
- Symmetry: No. 216
- V: 26.55 Å³/atom
- Energy relative to the elements: -73 meV per atom

No. 14
Here is a geometry-optimized Cu2IrPt structure from Alexandria via LeMat-Bulk. Energies are from PBE-GGA.

Lattice parameters (Å, degrees): 8.770 8.770 8.770 17.80 17.80 17.80
Element x y z (fractional)
Cu: 0.000 0.000 0.000
Cu: 0.500 0.500 0.500
Pt: 0.750 0.750 0.750
Ir: 0.250 0.250 0.250

- Uncorrected energy: -23.3 eV per cell
- Symmetry: No. 166
- V: 13.76 Å³/atom
- Energy relative to the elements: -42 meV per atom

No. 15
Here is a geometry-optimized DyYPu structure from Alexandria via LeMat-Bulk. Energies are from PBE-GGA.

Lattice parameters (Å, degrees): 3.380 5.569 9.681 90.00 90.00 90.00
Element x y z (fractional)
Pu: 0.000 0.500 0.747
Pu: 0.500 0.000 0.253
Y: 0.000 0.500 0.400
Y: 0.500 0.000 0.600
Dy: 0.000 0.000 0.935
Dy: 0.500 0.500 0.065

- Uncorrected energy: -49.8 eV per cell
- Symmetry: No. 59
- V: 30.37 Å³/atom
- Energy relative to the elements: 168 meV per atom

No. 16
Here is a geometry-optimized K2TaSe structure from Alexandria via LeMat-Bulk. Energies are from PBE-GGA.

Lattice parameters (Å, degrees): 3.664 3.406 11.106 82.65 90.00 90.00
Element x y z (fractional)
Se: 0.000 0.665 0.528
Ta: 0.500 0.601 0.682
K: 0.500 0.243 0.341
K: 0.000 0.991 0.949

- Uncorrected energy: -16.2 eV per cell
- Symmetry: No. 6
- V: 34.37 Å³/atom
- Raw formation energy: 0.33 eV per atom

No. 17
Here is a geometry-optimized Rb2NaOsRu structure from Alexandria via LeMat-Bulk. Energies are from PBE-GGA.

Lattice parameters (Å, degrees): 6.048 5.263 6.048 90.00 90.00 90.00
Element x y z (fractional)
Ru: 0.500 0.500 0.500
Rb: 0.500 0.000 0.000
Rb: 0.000 0.000 0.500
Os: 0.000 0.500 0.000
Na: 0.000 0.000 0.000

- Uncorrected energy: -12.6 eV per cell
- Symmetry: No. 123
- V: 38.50 Å³/atom
- Energy relative to the elements: 2223 meV per atom

No. 18
Here is a geometry-optimized DyHoEr2Se6 structure from Alexandria via LeMat-Bulk. Energies are from PBE-GGA.

Lattice parameters (Å, degrees): 7.162 7.162 7.672 62.17 62.17 60.00
Element x y z (fractional)
Se: 0.114 0.412 0.751
Se: 0.724 0.113 0.751
Se: 0.412 0.724 0.751
Se: 0.611 0.224 0.251
Se: 0.914 0.611 0.251
Se: 0.224 0.914 0.251
Er: 0.514 0.514 0.459
Er: 0.013 0.013 0.961
Dy: 0.818 0.818 0.546
Ho: 0.318 0.318 0.045

- Uncorrected energy: -57.7 eV per cell
- Symmetry: No. 146
- V: 28.70 Å³/atom
- Raw formation energy: -1.85 eV per atom

No. 19
Here is a geometry-optimized KSr3Rh structure from Alexandria via LeMat-Bulk. Energies are from PBE-GGA.

Lattice parameters (Å, degrees): 6.777 7.613 11.757 49.69 90.00 90.00
Element x y z (fractional)
Rh: 0.359 0.556 0.256
Rh: 0.858 0.556 0.256
Sr: 0.608 0.237 0.255
Sr: 0.108 0.628 0.024
Sr: 0.108 0.876 0.256
Sr: 0.608 0.948 0.024
Sr: 0.608 0.485 0.487
Sr: 0.108 0.165 0.487
K: 0.108 0.384 0.756
K: 0.608 0.729 0.755

- Uncorrected energy: -28.4 eV per cell
- Symmetry: No. 11
- V: 46.26 Å³/atom
- Energy relative to the elements: -136 meV per atom

No. 20
Here is a geometry-optimized InMoPRh2 structure from Alexandria via LeMat-Bulk. Energies are from PBE-GGA.

Lattice parameters (Å, degrees): 4.802 4.702 4.802 90.00 90.00 90.00
Element x y z (fractional)
Rh: 0.500 0.000 0.000
Rh: 0.000 0.000 0.500
P: 0.000 0.500 0.000
Mo: 0.500 0.500 0.500
In: 0.000 0.000 0.000

- Uncorrected energy: -24.2 eV per cell
- Symmetry: No. 123
- V: 21.68 Å³/atom
- Energy relative to the elements: 1900 meV per atom

No. 21
Here is a geometry-optimized KTlIn2I8 structure from Alexandria via LeMat-Bulk. Energies are from PBE-GGA.

Lattice parameters (Å, degrees): 9.614 9.614 9.614 103.42 103.42 122.41
Element x y z (fractional)
K: 0.250 0.750 0.500
I: 0.505 0.686 0.819
I: 0.934 0.250 0.317
I: 0.314 0.495 0.181
I: 0.750 0.066 0.683
I: 0.934 0.617 0.683
I: 0.868 0.686 0.181
I: 0.314 0.132 0.819
I: 0.383 0.066 0.317
Tl: 0.000 0.000 0.000
In: 0.750 0.250 0.500
In: 0.500 0.500 0.000

- Uncorrected energy: -29.7 eV per cell
- Symmetry: No. 119
- V: 54.78 Å³/atom
- Raw formation energy: -0.70 eV per atom

No. 22
Here is a geometry-optimized YSc3Ge structure from Alexandria via LeMat-Bulk. Energies are from PBE-GGA.

Lattice parameters (Å, degrees): 5.180 5.180 5.180 90.00 90.00 90.00
Element x y z (fractional)
Sc: 0.500 0.000 0.000
Sc: 0.000 0.500 0.000
Sc: 0.000 0.000 0.500
Ge: 0.500 0.500 0.500
Y: 0.000 0.000 0.000

- Uncorrected energy: -24.7 eV per cell
- Symmetry: No. 221
- V: 27.79 Å³/atom
- Energy relative to the elements: 1082 meV per atom

No. 23
Here is a geometry-optimized Th4Te3Se4 structure from Alexandria via LeMat-Bulk. Energies are from PBE-GGA.

Lattice parameters (Å, degrees): 4.237 8.767 9.749 116.72 102.55 90.00
Element x y z (fractional)
Th: 0.754 0.254 0.509
Th: 0.500 0.779 0.000
Th: 0.246 0.746 0.491
Th: 0.500 0.221 0.000
Se: 0.328 0.523 0.657
Se: 0.328 0.134 0.657
Se: 0.672 0.866 0.343
Se: 0.672 0.477 0.343
Te: 0.900 0.900 0.800
Te: 0.100 0.100 0.200
Te: 0.000 0.500 0.000

- Uncorrected energy: -69.7 eV per cell
- Symmetry: No. 71
- V: 28.52 Å³/atom
- Raw formation energy: -1.52 eV per atom

No. 24
Here is a geometry-optimized MnCuSn structure from Alexandria via LeMat-Bulk. Energies are from PBE-GGA.

Lattice parameters (Å, degrees): 3.240 3.240 5.264 107.92 107.92 90.00
Element x y z (fractional)
Sn: 0.286 0.286 0.572
Cu: 0.964 0.964 0.928
Mn: 0.600 0.600 0.200

- Uncorrected energy: -16.6 eV per cell
- Symmetry: No. 107
- V: 16.58 Å³/atom
- Energy relative to the elements: 224 meV per atom

No. 25
Here is a geometry-optimized Ce3Y2UN6 structure from Alexandria via LeMat-Bulk. Energies are from PBE-GGA.

Lattice parameters (Å, degrees): 6.040 6.040 6.139 99.45 99.45 119.95
Element x y z (fractional)
Ce: 0.169 0.831 0.500
Ce: 0.500 0.500 0.500
Ce: 0.831 0.169 0.500
N: 0.077 0.388 0.229
N: 0.766 0.766 0.232
N: 0.234 0.234 0.768
N: 0.612 0.923 0.771
N: 0.923 0.612 0.771
N: 0.388 0.077 0.229
Y: 0.666 0.334 0.000
Y: 0.334 0.666 0.000
U: 0.000 0.000 0.000

- Uncorrected energy: -110.7 eV per cell
- Symmetry: No. 12
- V: 15.28 Å³/atom
- Raw formation energy: -1.56 eV per atom

No. 26
Here is a geometry-optimized Cd2GaSn structure from Alexandria via LeMat-Bulk. Energies are from PBE-GGA.

Lattice parameters (Å, degrees): 4.217 4.217 11.327 79.27 79.27 90.00
Element x y z (fractional)
Ga: 0.250 0.750 0.500
Ga: 0.500 0.500 0.000
Cd: 0.619 0.125 0.250
Cd: 0.875 0.869 0.750
Cd: 0.375 0.381 0.750
Cd: 0.131 0.625 0.250
Sn: 0.000 0.000 0.000
Sn: 0.750 0.250 0.500

- Uncorrected energy: -17.0 eV per cell
- Symmetry: No. 122
- V: 24.29 Å³/atom
- Energy relative to the elements: 85 meV per atom